The following is a DFT calculation (PBE-GGA) of ScRe4Se8 after structural relaxation.

Lattice parameters (Å, degrees): 7.3688 7.3688 18.0086 90.00 90.00 120.00
Space group R-3m (No. 166, hexagonal axes)
Inequivalent atoms, fractional coordinates:
Sc  0.0000  0.0000  0.0000 (multiplicity 3)
Re  0.0000  0.0000  0.5000 (multiplicity 3)
Re  0.0000  0.5000  0.5000 (multiplicity 9)
Se  0.0000  0.0000  0.2457 (multiplicity 6)
Se  0.0060  0.5030  0.2461 (multiplicity 18)

Calculated values
magnetic moment: 18.90 μB/cell
volume: 21.71 Å³ per atom
formation energy from raw total energies: -0.1049 eV per atom

=====

The following is a DFT calculation (PBE-GGA) of Sc2ReSe after structural relaxation.

Lattice parameters (Å, degrees): 3.398 4.401 5.273 90.00 108.59 90.00
Space group Pm (No. 6)
Inequivalent atoms, fractional coordinates:
Sc  0.000  0.000  0.000 (multiplicity 1)
Sc  0.285  0.500  0.576 (multiplicity 1)
Re  0.731  0.000  0.470 (multiplicity 1)
Se  0.566  0.500  0.134 (multiplicity 1)

Calculated values
magnetic moment: 0.00 μB/cell
volume: 18.69 Å³ per atom
formation energy from raw total energies: -0.5371 eV per atom

=====

The following is a DFT calculation (PBE-GGA) of Sc2ReSe after structural relaxation.

Lattice parameters (Å, degrees): 3.397 3.397 6.339 90.00 90.00 90.00
Space group P4/mmm (No. 123)
Inequivalent atoms, fractional coordinates:
Sc  0.000  0.000  0.238 (multiplicity 2)
Re  0.500  0.500  0.000 (multiplicity 1)
Se  0.500  0.500  0.500 (multiplicity 1)

Calculated values
magnetic moment: 0.00 μB/cell
volume: 18.29 Å³ per atom
formation energy from raw total energies: -0.6462 eV per atom

=====

The following is a DFT calculation (PBE-GGA) of ScRe2Se after structural relaxation.

Lattice parameters (Å, degrees): 7.676 7.676 4.996 90.00 90.00 90.00
Space group I-42d (No. 122)
Inequivalent atoms, fractional coordinates:
Sc  0.000  0.000  0.000 (multiplicity 4)
Re  0.179  0.250  0.625 (multiplicity 8)
Se  0.000  0.000  0.500 (multiplicity 4)

Calculated values
magnetic moment: 0.00 μB/cell
volume: 18.40 Å³ per atom
formation energy from raw total energies: 0.5462 eV per atom

=====

The following is a DFT calculation (PBE-GGA) of ScRe2Se after structural relaxation.

Lattice parameters (Å, degrees): 3.016 4.094 5.401 90.00 90.00 90.00
Space group Pmm2 (No. 25)
Inequivalent atoms, fractional coordinates:
Sc  0.000  0.000  0.000 (multiplicity 1)
Re  0.000  0.000  0.516 (multiplicity 1)
Re  0.500  0.500  0.691 (multiplicity 1)
Se  0.500  0.500  0.210 (multiplicity 1)

Calculated values
magnetic moment: 0.00 μB/cell
volume: 16.67 Å³ per atom
formation energy from raw total energies: 0.0514 eV per atom

=====

The following is a DFT calculation (PBE-GGA) of ScRe2Se after structural relaxation.

Lattice parameters (Å, degrees): 4.418 4.418 3.248 90.00 90.00 90.00
Space group P4/mmm (No. 123)
Inequivalent atoms, fractional coordinates:
Sc  0.000  0.000  0.000 (multiplicity 1)
Re  0.000  0.500  0.500 (multiplicity 2)
Se  0.500  0.500  0.000 (multiplicity 1)

Calculated values
magnetic moment: 0.00 μB/cell
volume: 15.85 Å³ per atom
formation energy from raw total energies: 0.3954 eV per atom

=====

The following is a DFT calculation (PBE-GGA) of ScReSe3 after structural relaxation.

Lattice parameters (Å, degrees): 4.921 4.921 4.921 90.00 90.00 90.00
Space group Pm-3m (No. 221)
Inequivalent atoms, fractional coordinates:
Sc  0.000  0.000  0.000 (multiplicity 1)
Re  0.500  0.500  0.500 (multiplicity 1)
Se  0.000  0.500  0.500 (multiplicity 3)

Calculated values
magnetic moment: 2.23 μB/cell
volume: 23.84 Å³ per atom
formation energy from raw total energies: 0.1691 eV per atom

=====

The following is a DFT calculation (PBE-GGA) of ScRe2Se after structural relaxation.

Lattice parameters (Å, degrees): 5.099 8.688 3.046 90.00 90.00 90.00
Space group Cmmm (No. 65)
Inequivalent atoms, fractional coordinates:
Sc  0.000  0.000  0.000 (multiplicity 2)
Re  0.250  0.250  0.500 (multiplicity 4)
Se  0.000  0.500  0.000 (multiplicity 2)

Calculated values
magnetic moment: 0.00 μB/cell
volume: 16.87 Å³ per atom
formation energy from raw total energies: 0.3440 eV per atom

=====

The highest formation energy from raw total energies belongs to which entry? number 4

=====

Please write out number 1 again, unchanged.
The following is a DFT calculation (PBE-GGA) of ScRe4Se8 after structural relaxation.

Lattice parameters (Å, degrees): 7.3688 7.3688 18.0086 90.00 90.00 120.00
Space group R-3m (No. 166, hexagonal axes)
Inequivalent atoms, fractional coordinates:
Sc  0.0000  0.0000  0.0000 (multiplicity 3)
Re  0.0000  0.0000  0.5000 (multiplicity 3)
Re  0.0000  0.5000  0.5000 (multiplicity 9)
Se  0.0000  0.0000  0.2457 (multiplicity 6)
Se  0.0060  0.5030  0.2461 (multiplicity 18)

Calculated values
magnetic moment: 18.90 μB/cell
volume: 21.71 Å³ per atom
formation energy from raw total energies: -0.1049 eV per atom